Record 1
Density functional theory data (SCAN) for a crystal of LiP2Cl relaxed with PBEsol.

Density ... 2.84 Mg/m³
Size of the total moment ... 0.0 μB/f.u.
Fermi-level density of states ... 0.408 states/eV/atom
E ... -87.15 eV for the cell shown
Space group ... R-3m
E above lowest polymorph ... 1226 meV per atom

Unit cell a=2.9428 b=2.9428 c=24.4441 alpha=90.00 beta=90.00 gamma=120.00
Last column: nearest neighbours and their distance in Å.
Positions (direct):
Li: 0.0000 0.0000 0.0000  6 P 2.61
Li: 0.3333 0.6667 0.6667  6 P 2.61
Li: 0.6667 0.3333 0.3333  6 P 2.61
P: 0.0000 0.0000 0.2523  3 Li 2.61, 3 Cl 2.70
P: 0.0000 0.0000 0.7477  3 Li 2.61, 3 Cl 2.70
P: 0.3333 0.6667 0.4143  3 Li 2.61, 3 Cl 2.70
P: 0.3333 0.6667 0.9190  3 Li 2.61, 3 Cl 2.70
P: 0.6667 0.3333 0.0810  3 Li 2.61, 3 Cl 2.70
P: 0.6667 0.3333 0.5857  3 Li 2.61, 3 Cl 2.70
Cl: 0.0000 0.0000 0.5000  6 P 2.70, 6 Cl 2.94
Cl: 0.3333 0.6667 0.1667  6 P 2.70, 6 Cl 2.94
Cl: 0.6667 0.3333 0.8333  6 P 2.70, 6 Cl 2.94



Record 2
Density functional theory data (SCAN) for a crystal of Mg2In3 relaxed with PBEsol.

Density ... 5.58 Mg/m³
Size of the total moment ... 0.0 μB/f.u.
Fermi-level density of states ... 0.435 states/eV/atom
E ... -331.70 eV for the cell shown
Space group ... R-3m
E above lowest polymorph ... 9 meV per atom
Formation energy ... -0.092 eV/atom

Unit cell a=3.3513 b=3.3513 c=36.1025 alpha=90.00 beta=90.00 gamma=120.00
Last column: nearest neighbours and their distance in Å.
Positions (direct):
Mg: 0.0000 0.0000 0.1008  6 In 3.07-3.08, 6 Mg 3.35
Mg: 0.0000 0.0000 0.8992  6 In 3.07-3.08, 6 Mg 3.35
Mg: 0.3333 0.6667 0.5659  6 In 3.07-3.08, 6 Mg 3.35
Mg: 0.3333 0.6667 0.7674  6 In 3.07-3.08, 6 Mg 3.35
Mg: 0.6667 0.3333 0.2326  6 In 3.07-3.08, 6 Mg 3.35
Mg: 0.6667 0.3333 0.4341  6 In 3.07-3.08, 6 Mg 3.35
In: 0.0000 0.0000 0.2990  3 Mg 3.08, 9 In 3.14-3.35
In: 0.0000 0.0000 0.5000  6 Mg 3.07, 6 In 3.35
In: 0.0000 0.0000 0.7010  3 Mg 3.08, 9 In 3.14-3.35
In: 0.3333 0.6667 0.1667  6 Mg 3.07, 6 In 3.35
In: 0.3333 0.6667 0.3676  3 Mg 3.08, 9 In 3.14-3.35
In: 0.3333 0.6667 0.9657  3 Mg 3.08, 9 In 3.14-3.35
In: 0.6667 0.3333 0.0343  3 Mg 3.08, 9 In 3.14-3.35
In: 0.6667 0.3333 0.6324  3 Mg 3.08, 9 In 3.14-3.35
In: 0.6667 0.3333 0.8333  6 Mg 3.07, 6 In 3.35



Record 3
Density functional theory data (SCAN) for a crystal of LiCa2Cr2 relaxed with PBEsol.

Density ... 2.81 Mg/m³
Size of the total moment ... 0.0 μB/f.u.
Fermi-level density of states ... 1.248 states/eV/atom
E ... -110.41 eV for the cell shown
Space group ... I4/mmm
Formation energy ... 0.656 eV/atom

Unit cell a=3.2270 b=3.2270 c=21.7106 alpha=90.00 beta=90.00 gamma=90.00
Last column: nearest neighbours and their distance in Å.
Positions (direct):
Li: 0.0000 0.0000 0.0000  4 Li 3.23, 8 Ca 3.59
Li: 0.5000 0.5000 0.5000  4 Li 3.23, 8 Ca 3.59
Ca: 0.0000 0.0000 0.3723  4 Cr 3.11, 4 Ca 3.23
Ca: 0.0000 0.0000 0.6277  4 Cr 3.11, 4 Ca 3.23
Ca: 0.5000 0.5000 0.1277  4 Cr 3.11, 4 Ca 3.23
Ca: 0.5000 0.5000 0.8723  4 Cr 3.11, 4 Ca 3.23
Cr: 0.0000 0.5000 0.2500  4 Cr 2.28
Cr: 0.0000 0.5000 0.7500  4 Cr 2.28
Cr: 0.5000 0.0000 0.2500  4 Cr 2.28
Cr: 0.5000 0.0000 0.7500  4 Cr 2.28



Record 4
Density functional theory data (SCAN) for a crystal of AlSe3F relaxed with PBEsol.

Density ... 4.89 Mg/m³
Size of the total moment ... 0.0 μB/f.u.
Fermi-level density of states ... 0.289 states/eV/atom
E ... -69.58 eV for the cell shown
Space group ... Pm-3m

Unit cell a=4.5791 b=4.5791 c=4.5791 alpha=90.00 beta=90.00 gamma=90.00
Last column: nearest neighbours and their distance in Å.
Positions (direct):
Al: 0.0000 0.0000 0.0000  12 Se 3.24
Se: 0.0000 0.5000 0.5000  2 F 2.29
Se: 0.5000 0.0000 0.5000  2 F 2.29
Se: 0.5000 0.5000 0.0000  2 F 2.29
F: 0.5000 0.5000 0.5000  6 Se 2.29



Record 5
Density functional theory data (SCAN) for a crystal of PmHo3 relaxed with PBEsol.

Density ... 8.79 Mg/m³
Size of the total moment ... 0.0 μB/f.u.
Fermi-level density of states ... 1.590 states/eV/atom
E ... -381.79 eV for the cell shown
Space group ... P6_3/mmc
E above lowest polymorph ... 0 meV per atom
Formation energy ... 0.013 eV/atom

Unit cell a=7.0801 b=7.0801 c=5.5708 alpha=90.00 beta=90.00 gamma=120.00
Last column: nearest neighbours and their distance in Å.
Positions (direct):
Pm: 0.3333 0.6667 0.2500  12 Ho 3.46-3.54
Pm: 0.6667 0.3333 0.7500  12 Ho 3.46-3.54
Ho: 0.1660 0.3320 0.7500  8 Ho 3.45-3.55, 4 Pm 3.46-3.54
Ho: 0.1660 0.8340 0.7500  8 Ho 3.45-3.55, 4 Pm 3.46-3.54
Ho: 0.3320 0.1660 0.2500  8 Ho 3.45-3.55, 4 Pm 3.46-3.54
Ho: 0.6680 0.8340 0.7500  8 Ho 3.45-3.55, 4 Pm 3.46-3.54
Ho: 0.8340 0.1660 0.2500  8 Ho 3.45-3.55, 4 Pm 3.46-3.54
Ho: 0.8340 0.6680 0.2500  8 Ho 3.45-3.55, 4 Pm 3.46-3.54



Record 6
Density functional theory data (SCAN) for a crystal of BaNbPd3 relaxed with PBEsol.

Density ... 7.55 Mg/m³
Size of the total moment ... 0.0 μB/f.u.
Fermi-level density of states ... 0.890 states/eV/atom
E ... -170.23 eV for the cell shown
Space group ... Pm-3m
Formation energy ... 0.154 eV/atom

Unit cell a=4.9433 b=4.9433 c=4.9433 alpha=90.00 beta=90.00 gamma=90.00
Last column: nearest neighbours and their distance in Å.
Positions (direct):
Ba: 0.0000 0.0000 0.0000  12 Pd 3.50
Nb: 0.5000 0.5000 0.5000  6 Pd 2.47
Pd: 0.0000 0.5000 0.5000  2 Nb 2.47
Pd: 0.5000 0.0000 0.5000  2 Nb 2.47
Pd: 0.5000 0.5000 0.0000  2 Nb 2.47



Record 7
Density functional theory data (SCAN) for a crystal of CdOs relaxed with PBEsol.

Density ... 15.50 Mg/m³
Size of the total moment ... 0.0 μB/f.u.
Fermi-level density of states ... 0.895 states/eV/atom
E ... -201.57 eV for the cell shown
Space group ... Cmmm
Formation energy ... 0.753 eV/atom

Unit cell a=2.8614 b=4.7127 c=4.8089 alpha=90.00 beta=90.00 gamma=90.00
Last column: nearest neighbours and their distance in Å.
Positions (direct):
Cd: 0.0000 0.0000 0.0000  6 Cd 2.76-2.86, 4 Os 2.80
Cd: 0.5000 0.5000 0.0000  6 Cd 2.76-2.86, 4 Os 2.80
Os: 0.0000 0.5000 0.5000  6 Os 2.76-2.86, 4 Cd 2.80
Os: 0.5000 0.0000 0.5000  6 Os 2.76-2.86, 4 Cd 2.80



Record 8
Density functional theory data (SCAN) for a crystal of ZnCd2Br relaxed with PBEsol.

Density ... 6.90 Mg/m³
Size of the total moment ... 0.0 μB/f.u.
Fermi-level density of states ... 0.266 states/eV/atom
E ... -187.24 eV for the cell shown
Space group ... Cmmm
E above lowest polymorph ... 204 meV per atom

Unit cell a=5.7645 b=8.3954 c=3.6793 alpha=90.00 beta=90.00 gamma=90.00
Last column: nearest neighbours and their distance in Å.
Positions (direct):
Zn: 0.0000 0.0000 0.0000  2 Br 2.88, 8 Cd 3.14
Zn: 0.5000 0.5000 0.0000  2 Br 2.88, 8 Cd 3.14
Cd: 0.2500 0.2500 0.5000  2 Cd 2.88, 4 Br 3.14, 4 Zn 3.14
Cd: 0.2500 0.7500 0.5000  2 Cd 2.88, 4 Br 3.14, 4 Zn 3.14
Cd: 0.7500 0.2500 0.5000  2 Cd 2.88, 4 Br 3.14, 4 Zn 3.14
Cd: 0.7500 0.7500 0.5000  2 Cd 2.88, 4 Br 3.14, 4 Zn 3.14
Br: 0.0000 0.5000 0.0000  2 Zn 2.88, 8 Cd 3.14
Br: 0.5000 0.0000 0.0000  2 Zn 2.88, 8 Cd 3.14